! PBE Co2PW, optimized geometry; values from VASP
! Electronic total energy, eV per atom: -8.127
! Energy of formation, eV per atom: 0.02
! DOS(E_F), states/eV/atom: 0.877
&SYSTEM
  ibrav = 0, nat = 4, ntyp = 3
/
ATOMIC_SPECIES
Co 58.93 Co.upf
P 30.97 P.upf
W 183.84 W.upf
CELL_PARAMETERS angstrom
0.000 2.879 2.879
2.879 0.000 2.879
2.879 2.879 0.000
ATOMIC_POSITIONS crystal
Co 0.000 0.000 0.000
Co 0.250 0.250 0.250
P 0.750 0.750 0.750
W 0.500 0.500 0.500